# VMo3F | the Alexandria database | GGA+U | relaxed
data_VMo3F
_chemical_formula_sum 'V1 Mo3 F1'
_cell_length_a 4.284
_cell_length_b 4.284
_cell_length_c 4.284
_cell_angle_alpha 90.00
_cell_angle_beta 90.00
_cell_angle_gamma 90.00
_space_group_name_H-M_alt 'P m -3 m'
_space_group_IT_number 221
_space_group_name_Hall '-P 4 2 3'
loop_
_atom_site_label
_atom_site_type_symbol
_atom_site_fract_x
_atom_site_fract_y
_atom_site_fract_z
V1 V 0.000 0.000 0.000
Mo1 Mo 0.000 0.500 0.500
F1 F 0.500 0.500 0.500
# - Total DFT energy (no corrections): -4.60 eV/atom
# - Excess energy over the best structure of this formula in the dataset: 0 meV/atom
# - Magnetization: 3.976 μB/cell
# - DOS(E_F): 3.7 states/eV/f.u.